(1)
## Na6W7O21 (GGA+U)

Data for crystalline Na6W7O21 at its relaxed geometry.

Output
Space-group type ... No. 148
E_tot ... -6.8005 eV per atom

Cell lengths 8.869, 8.869, 8.869 Å; angles 113.53, 113.53, 113.53 degrees
Sites, in units of the cell vectors:
Na (0.076, 0.794, 0.649)
Na (0.206, 0.351, 0.924)
Na (0.351, 0.924, 0.206)
Na (0.649, 0.076, 0.794)
Na (0.794, 0.649, 0.076)
Na (0.924, 0.206, 0.351)
W (0.000, 0.000, 0.000)
W (0.145, 0.571, 0.288)
W (0.288, 0.145, 0.571)
W (0.429, 0.712, 0.855)
W (0.571, 0.288, 0.145)
W (0.712, 0.855, 0.429)
W (0.855, 0.429, 0.712)
O (0.000, 0.000, 0.500)
O (0.000, 0.500, 0.000)
O (0.065, 0.277, 0.134)
O (0.131, 0.560, 0.777)
O (0.134, 0.065, 0.277)
O (0.223, 0.869, 0.440)
O (0.277, 0.134, 0.065)
O (0.282, 0.637, 0.578)
O (0.363, 0.422, 0.718)
O (0.422, 0.718, 0.363)
O (0.440, 0.223, 0.869)
O (0.500, 0.000, 0.000)
O (0.560, 0.777, 0.131)
O (0.578, 0.282, 0.637)
O (0.637, 0.578, 0.282)
O (0.718, 0.363, 0.422)
O (0.723, 0.866, 0.935)
O (0.777, 0.131, 0.560)
O (0.866, 0.935, 0.723)
O (0.869, 0.440, 0.223)
O (0.935, 0.723, 0.866)

=====

(2)
## Na9W16O48 (GGA+U)

Data for crystalline Na9W16O48 at its relaxed geometry.

Output
Space-group type ... No. 12
E_tot ... -7.0222 eV per atom

Cell lengths 6.726, 6.726, 22.218 Å; angles 90.20, 90.20, 70.51 degrees
Sites, in units of the cell vectors:
Na (0.000, 0.000, 0.000)
Na (0.249, 0.249, 0.127)
Na (0.249, 0.249, 0.625)
Na (0.250, 0.250, 0.876)
Na (0.252, 0.252, 0.376)
Na (0.748, 0.748, 0.624)
Na (0.750, 0.750, 0.124)
Na (0.751, 0.751, 0.375)
Na (0.751, 0.751, 0.873)
W (0.000, 0.500, 0.000)
W (0.000, 0.500, 0.251)
W (0.000, 0.500, 0.500)
W (0.000, 0.500, 0.749)
W (0.249, 0.749, 0.625)
W (0.251, 0.751, 0.375)
W (0.252, 0.748, 0.126)
W (0.252, 0.748, 0.874)
W (0.500, 0.000, 0.000)
W (0.500, 0.000, 0.251)
W (0.500, 0.000, 0.500)
W (0.500, 0.000, 0.749)
W (0.748, 0.252, 0.126)
W (0.748, 0.252, 0.874)
W (0.749, 0.249, 0.625)
W (0.751, 0.251, 0.375)
O (0.021, 0.021, 0.625)
O (0.025, 0.025, 0.125)
O (0.088, 0.632, 0.178)
O (0.091, 0.629, 0.677)
O (0.106, 0.670, 0.057)
O (0.109, 0.658, 0.557)
O (0.129, 0.594, 0.432)
O (0.143, 0.589, 0.930)
O (0.162, 0.613, 0.311)
O (0.163, 0.614, 0.809)
O (0.246, 0.246, 0.739)
O (0.247, 0.247, 0.240)
O (0.251, 0.251, 0.018)
O (0.255, 0.255, 0.511)
O (0.330, 0.894, 0.943)
O (0.342, 0.891, 0.443)
O (0.368, 0.912, 0.822)
O (0.371, 0.909, 0.323)
O (0.386, 0.837, 0.191)
O (0.387, 0.838, 0.689)
O (0.406, 0.871, 0.568)
O (0.411, 0.857, 0.070)
O (0.471, 0.471, 0.123)
O (0.477, 0.477, 0.621)
O (0.523, 0.523, 0.379)
O (0.529, 0.529, 0.877)
O (0.589, 0.143, 0.930)
O (0.594, 0.129, 0.432)
O (0.613, 0.162, 0.311)
O (0.614, 0.163, 0.809)
O (0.629, 0.091, 0.677)
O (0.632, 0.088, 0.178)
O (0.658, 0.109, 0.557)
O (0.670, 0.106, 0.057)
O (0.745, 0.745, 0.489)
O (0.749, 0.749, 0.982)
O (0.753, 0.753, 0.760)
O (0.754, 0.754, 0.261)
O (0.837, 0.386, 0.191)
O (0.838, 0.387, 0.689)
O (0.857, 0.411, 0.070)
O (0.871, 0.406, 0.568)
O (0.891, 0.342, 0.443)
O (0.894, 0.330, 0.943)
O (0.909, 0.371, 0.323)
O (0.912, 0.368, 0.822)
O (0.975, 0.975, 0.875)
O (0.979, 0.979, 0.375)

=====

(3)
## Na4WO5 (GGA+U)

Data for crystalline Na4WO5 at its relaxed geometry.

Output
Space-group type ... No. 2
E_tot ... -5.6532 eV per atom

Cell lengths 5.740, 5.772, 8.608 Å; angles 109.19, 101.38, 102.28 degrees
Sites, in units of the cell vectors:
Na (0.000, 0.000, 0.000)
Na (0.086, 0.200, 0.706)
Na (0.200, 0.395, 0.398)
Na (0.289, 0.585, 0.097)
Na (0.500, 0.000, 0.500)
Na (0.711, 0.415, 0.903)
Na (0.800, 0.605, 0.602)
Na (0.914, 0.800, 0.294)
W (0.396, 0.799, 0.795)
W (0.604, 0.201, 0.205)
O (0.104, 0.630, 0.844)
O (0.192, 0.822, 0.600)
O (0.306, 0.020, 0.242)
O (0.386, 0.154, 0.963)
O (0.445, 0.477, 0.686)
O (0.555, 0.523, 0.314)
O (0.614, 0.846, 0.037)
O (0.694, 0.980, 0.758)
O (0.808, 0.178, 0.400)
O (0.896, 0.370, 0.156)

=====

(4)
## Na10W13O39 (GGA+U)

Data for crystalline Na10W13O39 at its relaxed geometry.

Output
Space-group type ... No. 2
E_tot ... -6.8598 eV per atom

Cell lengths 6.847, 8.799, 14.221 Å; angles 75.88, 81.01, 75.30 degrees
Sites, in units of the cell vectors:
Na (0.035, 0.230, 0.154)
Na (0.111, 0.697, 0.461)
Na (0.193, 0.154, 0.771)
Na (0.271, 0.620, 0.078)
Na (0.342, 0.079, 0.388)
Na (0.658, 0.921, 0.612)
Na (0.729, 0.380, 0.922)
Na (0.807, 0.846, 0.229)
Na (0.889, 0.303, 0.539)
Na (0.965, 0.770, 0.846)
W (0.000, 0.000, 0.000)
W (0.079, 0.464, 0.308)
W (0.158, 0.921, 0.616)
W (0.230, 0.383, 0.923)
W (0.307, 0.848, 0.227)
W (0.388, 0.307, 0.540)
W (0.462, 0.767, 0.847)
W (0.538, 0.233, 0.153)
W (0.612, 0.693, 0.460)
W (0.693, 0.152, 0.773)
W (0.770, 0.617, 0.077)
W (0.842, 0.079, 0.384)
W (0.921, 0.536, 0.692)
O (0.000, 0.000, 0.500)
O (0.000, 0.500, 0.000)
O (0.032, 0.723, 0.663)
O (0.058, 0.438, 0.811)
O (0.060, 0.968, 0.305)
O (0.128, 0.194, 0.977)
O (0.140, 0.890, 0.119)
O (0.145, 0.423, 0.616)
O (0.200, 0.656, 0.282)
O (0.222, 0.892, 0.920)
O (0.225, 0.385, 0.423)
O (0.270, 0.117, 0.570)
O (0.300, 0.359, 0.228)
O (0.318, 0.582, 0.879)
O (0.329, 0.857, 0.732)
O (0.376, 0.804, 0.542)
O (0.392, 0.049, 0.185)
O (0.403, 0.331, 0.035)
O (0.455, 0.270, 0.846)
O (0.466, 0.793, 0.347)
O (0.500, 0.500, 0.500)
O (0.534, 0.207, 0.653)
O (0.545, 0.730, 0.154)
O (0.597, 0.669, 0.965)
O (0.608, 0.951, 0.815)
O (0.624, 0.196, 0.458)
O (0.671, 0.143, 0.268)
O (0.682, 0.418, 0.121)
O (0.700, 0.641, 0.772)
O (0.730, 0.883, 0.430)
O (0.775, 0.615, 0.577)
O (0.778, 0.108, 0.080)
O (0.800, 0.344, 0.718)
O (0.855, 0.577, 0.384)
O (0.860, 0.110, 0.881)
O (0.872, 0.806, 0.023)
O (0.940, 0.032, 0.695)
O (0.942, 0.562, 0.189)
O (0.968, 0.277, 0.337)

=====

Which of these has the highest E_tot?
Na4WO5

=====

Please write out number 4 again, unchanged.
## Na10W13O39 (GGA+U)

Data for crystalline Na10W13O39 at its relaxed geometry.

Output
Space-group type ... No. 2
E_tot ... -6.8598 eV per atom

Cell lengths 6.847, 8.799, 14.221 Å; angles 75.88, 81.01, 75.30 degrees
Sites, in units of the cell vectors:
Na (0.035, 0.230, 0.154)
Na (0.111, 0.697, 0.461)
Na (0.193, 0.154, 0.771)
Na (0.271, 0.620, 0.078)
Na (0.342, 0.079, 0.388)
Na (0.658, 0.921, 0.612)
Na (0.729, 0.380, 0.922)
Na (0.807, 0.846, 0.229)
Na (0.889, 0.303, 0.539)
Na (0.965, 0.770, 0.846)
W (0.000, 0.000, 0.000)
W (0.079, 0.464, 0.308)
W (0.158, 0.921, 0.616)
W (0.230, 0.383, 0.923)
W (0.307, 0.848, 0.227)
W (0.388, 0.307, 0.540)
W (0.462, 0.767, 0.847)
W (0.538, 0.233, 0.153)
W (0.612, 0.693, 0.460)
W (0.693, 0.152, 0.773)
W (0.770, 0.617, 0.077)
W (0.842, 0.079, 0.384)
W (0.921, 0.536, 0.692)
O (0.000, 0.000, 0.500)
O (0.000, 0.500, 0.000)
O (0.032, 0.723, 0.663)
O (0.058, 0.438, 0.811)
O (0.060, 0.968, 0.305)
O (0.128, 0.194, 0.977)
O (0.140, 0.890, 0.119)
O (0.145, 0.423, 0.616)
O (0.200, 0.656, 0.282)
O (0.222, 0.892, 0.920)
O (0.225, 0.385, 0.423)
O (0.270, 0.117, 0.570)
O (0.300, 0.359, 0.228)
O (0.318, 0.582, 0.879)
O (0.329, 0.857, 0.732)
O (0.376, 0.804, 0.542)
O (0.392, 0.049, 0.185)
O (0.403, 0.331, 0.035)
O (0.455, 0.270, 0.846)
O (0.466, 0.793, 0.347)
O (0.500, 0.500, 0.500)
O (0.534, 0.207, 0.653)
O (0.545, 0.730, 0.154)
O (0.597, 0.669, 0.965)
O (0.608, 0.951, 0.815)
O (0.624, 0.196, 0.458)
O (0.671, 0.143, 0.268)
O (0.682, 0.418, 0.121)
O (0.700, 0.641, 0.772)
O (0.730, 0.883, 0.430)
O (0.775, 0.615, 0.577)
O (0.778, 0.108, 0.080)
O (0.800, 0.344, 0.718)
O (0.855, 0.577, 0.384)
O (0.860, 0.110, 0.881)
O (0.872, 0.806, 0.023)
O (0.940, 0.032, 0.695)
O (0.942, 0.562, 0.189)
O (0.968, 0.277, 0.337)

=====

What did the second record say?
## Na9W16O48 (GGA+U)

Data for crystalline Na9W16O48 at its relaxed geometry.

Output
Space-group type ... No. 12
E_tot ... -7.0222 eV per atom

Cell lengths 6.726, 6.726, 22.218 Å; angles 90.20, 90.20, 70.51 degrees
Sites, in units of the cell vectors:
Na (0.000, 0.000, 0.000)
Na (0.249, 0.249, 0.127)
Na (0.249, 0.249, 0.625)
Na (0.250, 0.250, 0.876)
Na (0.252, 0.252, 0.376)
Na (0.748, 0.748, 0.624)
Na (0.750, 0.750, 0.124)
Na (0.751, 0.751, 0.375)
Na (0.751, 0.751, 0.873)
W (0.000, 0.500, 0.000)
W (0.000, 0.500, 0.251)
W (0.000, 0.500, 0.500)
W (0.000, 0.500, 0.749)
W (0.249, 0.749, 0.625)
W (0.251, 0.751, 0.375)
W (0.252, 0.748, 0.126)
W (0.252, 0.748, 0.874)
W (0.500, 0.000, 0.000)
W (0.500, 0.000, 0.251)
W (0.500, 0.000, 0.500)
W (0.500, 0.000, 0.749)
W (0.748, 0.252, 0.126)
W (0.748, 0.252, 0.874)
W (0.749, 0.249, 0.625)
W (0.751, 0.251, 0.375)
O (0.021, 0.021, 0.625)
O (0.025, 0.025, 0.125)
O (0.088, 0.632, 0.178)
O (0.091, 0.629, 0.677)
O (0.106, 0.670, 0.057)
O (0.109, 0.658, 0.557)
O (0.129, 0.594, 0.432)
O (0.143, 0.589, 0.930)
O (0.162, 0.613, 0.311)
O (0.163, 0.614, 0.809)
O (0.246, 0.246, 0.739)
O (0.247, 0.247, 0.240)
O (0.251, 0.251, 0.018)
O (0.255, 0.255, 0.511)
O (0.330, 0.894, 0.943)
O (0.342, 0.891, 0.443)
O (0.368, 0.912, 0.822)
O (0.371, 0.909, 0.323)
O (0.386, 0.837, 0.191)
O (0.387, 0.838, 0.689)
O (0.406, 0.871, 0.568)
O (0.411, 0.857, 0.070)
O (0.471, 0.471, 0.123)
O (0.477, 0.477, 0.621)
O (0.523, 0.523, 0.379)
O (0.529, 0.529, 0.877)
O (0.589, 0.143, 0.930)
O (0.594, 0.129, 0.432)
O (0.613, 0.162, 0.311)
O (0.614, 0.163, 0.809)
O (0.629, 0.091, 0.677)
O (0.632, 0.088, 0.178)
O (0.658, 0.109, 0.557)
O (0.670, 0.106, 0.057)
O (0.745, 0.745, 0.489)
O (0.749, 0.749, 0.982)
O (0.753, 0.753, 0.760)
O (0.754, 0.754, 0.261)
O (0.837, 0.386, 0.191)
O (0.838, 0.387, 0.689)
O (0.857, 0.411, 0.070)
O (0.871, 0.406, 0.568)
O (0.891, 0.342, 0.443)
O (0.894, 0.330, 0.943)
O (0.909, 0.371, 0.323)
O (0.912, 0.368, 0.822)
O (0.975, 0.975, 0.875)
O (0.979, 0.979, 0.375)